Nd3In4Au2 | PBE | optimized geometry

Spin magnetization: 0.00 μB per formula unit
E: -37.36 eV per cell

a = 6.219 Å, b = 6.219 Å, c = 9.224 Å
α = 112.46°, β = 112.46°, γ = 45.96°
Fractional positions:
Nd: 0.000 0.000 0.000
Nd: 0.323 0.323 0.352
Nd: 0.677 0.677 0.648
In: 0.026 0.026 0.360
In: 0.263 0.263 0.921
In: 0.737 0.737 0.079
In: 0.974 0.974 0.640
Au: 0.401 0.401 0.729
Au: 0.599 0.599 0.271

Nd2InAu3 | PBE | optimized geometry

Spin magnetization: 0.00 μB per formula unit
E: -52.66 eV per cell

a = 9.672 Å, b = 9.121 Å, c = 5.999 Å
α = 76.45°, β = 66.47°, γ = 37.08°
Fractional positions:
Nd: 0.241 0.759 0.759
Nd: 0.250 0.250 0.250
Nd: 0.750 0.750 0.750
Nd: 0.759 0.241 0.241
In: 0.334 0.334 0.666
In: 0.666 0.666 0.334
Au: 0.168 0.168 0.832
Au: 0.169 0.664 0.336
Au: 0.336 0.831 0.169
Au: 0.664 0.169 0.831
Au: 0.831 0.336 0.664
Au: 0.832 0.832 0.168

Nd6InAu5 | PBE | optimized geometry

Spin magnetization: 0.00 μB per formula unit
E: -56.19 eV per cell

a = 5.246 Å, b = 7.551 Å, c = 8.371 Å
α = 90.00°, β = 108.21°, γ = 90.00°
Fractional positions:
Nd: 0.000 0.236 0.000
Nd: 0.000 0.764 0.000
Nd: 0.329 0.249 0.658
Nd: 0.329 0.751 0.658
Nd: 0.671 0.249 0.342
Nd: 0.671 0.751 0.342
In: 0.500 0.500 0.000
Au: 0.154 0.500 0.307
Au: 0.168 0.000 0.335
Au: 0.500 0.000 0.000
Au: 0.832 0.000 0.665
Au: 0.846 0.500 0.693